Entry 1:
Here is a relaxed Pm12ScGe7 crystal from the Alexandria database. Energies are from GGA-PBE.

Structure (POSCAR):
```
Pm12ScGe7
1.0
-5.9267 -6.8745 1.4432
0.4770 1.3930 -9.0719
8.2776 -2.8378 2.8099
Ge Pm Sc
7 12 1
Direct
0.8838 0.9645 0.6597
0.5000 0.5000 0.5000
0.6597 0.8838 0.9645
0.0355 0.3403 0.1162
0.9645 0.6597 0.8838
0.3403 0.1162 0.0355
0.1162 0.0355 0.3403
0.9246 0.3109 0.7729
0.5328 0.8484 0.6167
0.2271 0.0754 0.6891
0.7729 0.9246 0.3109
0.0754 0.6891 0.2271
0.4672 0.1516 0.3833
0.6167 0.5328 0.8484
0.3109 0.7729 0.9246
0.6891 0.2271 0.0754
0.8484 0.6167 0.5328
0.3833 0.4672 0.1516
0.1516 0.3833 0.4672
0.0000 0.0000 0.0000
```

**DFT total energy**: -104.1 eV for the cell shown
**Formation energy**: -0.423 eV per atom
**DOS at the Fermi energy**: 22.46 states/eV per cell



Entry 2:
Here is a relaxed Pm3ScGe2 crystal from the Alexandria database. Energies are from GGA-PBE.

Structure (POSCAR):
```
Pm3ScGe2
1.0
-1.0166 -1.9730 -3.6901
-2.3314 -3.0954 2.2976
-4.9921 7.1001 0.0856
Pm Ge Sc
3 2 1
Direct
0.8206 0.3205 0.6407
0.5000 0.5000 0.0000
0.1794 0.6795 0.3593
0.6302 0.1310 0.2620
0.3698 0.8690 0.7380
0.0000 0.0000 0.0000
```

**DFT total energy**: -33.7 eV for the cell shown
**Formation energy**: -0.642 eV per atom
**DOS at the Fermi energy**: 6.61 states/eV per cell
**Polymorph energy (0 for the lowest one)**: 0 meV/atom



Entry 3:
Here is a relaxed Pm4ScGe2 crystal from the Alexandria database. Energies are from GGA-PBE.

Structure (POSCAR):
```
Pm4ScGe2
1.0
5.1692 0.0000 0.0000
2.5846 4.4766 0.0000
2.5846 1.4922 8.9761
Ge Sc Pm
2 1 4
Direct
0.3988 0.3988 0.8037
0.6012 0.6012 0.1963
0.5000 0.5000 0.5000
0.8791 0.8791 0.3627
0.7134 0.7134 0.8597
0.1209 0.1209 0.6373
0.2866 0.2866 0.1403
```

**DFT total energy**: -37.1 eV for the cell shown
**Formation energy**: -0.367 eV per atom
**DOS at the Fermi energy**: 7.30 states/eV per cell



Entry 4:
Here is a relaxed PmSc2Ge4 crystal from the Alexandria database. Energies are from GGA-PBE.

Structure (POSCAR):
```
PmSc2Ge4
1.0
3.8370 0.0000 -0.8748
-0.2138 4.0139 -0.9377
0.1156 0.0704 9.3588
Pm Ge Sc
1 4 2
Direct
0.5000 0.0000 0.0000
0.3349 0.3349 0.6699
0.0706 0.5706 0.1413
0.6651 0.6651 0.3301
0.9294 0.4294 0.8587
0.8186 0.8186 0.6372
0.1814 0.1814 0.3628
```

**DFT total energy**: -40.8 eV for the cell shown
**Formation energy**: -0.708 eV per atom
**DOS at the Fermi energy**: 2.42 states/eV per cell



Entry 5:
Here is a relaxed PmScGe3 crystal from the Alexandria database. Energies are from GGA-PBE.

Structure (POSCAR):
```
PmScGe3
1.0
3.9341 0.0000 0.0000
0.0000 4.0901 0.0000
0.0000 -2.0450 13.3507
Ge Sc Pm
6 2 2
Direct
0.2500 0.4702 0.9404
0.7500 0.6282 0.2565
0.7500 0.3081 0.6163
0.2500 0.3718 0.7435
0.7500 0.5298 0.0596
0.2500 0.6919 0.3837
0.7500 0.2050 0.4100
0.2500 0.7950 0.5900
0.7500 0.9232 0.8464
0.2500 0.0768 0.1536
```

**DFT total energy**: -56.5 eV for the cell shown
**Formation energy**: -0.660 eV per atom
**DOS at the Fermi energy**: 5.87 states/eV per cell



Entry 6:
Here is a relaxed Pm3ScGe3 crystal from the Alexandria database. Energies are from GGA-PBE.

Structure (POSCAR):
```
Pm3ScGe3
1.0
7.4692 0.2279 0.1750
-3.1235 6.7885 0.1750
-0.4781 -0.7719 7.4901
Pm Ge Sc
6 6 2
Direct
0.1645 0.8355 0.5000
0.6126 0.6126 0.3497
0.7700 0.2300 0.0000
0.2300 0.7700 0.0000
0.3874 0.3874 0.6503
0.8355 0.1645 0.5000
0.8520 0.5106 0.7057
0.5106 0.8520 0.7057
0.4894 0.1480 0.2943
0.1480 0.4894 0.2943
0.0807 0.0807 0.7869
0.9193 0.9193 0.2131
0.7791 0.7791 0.8857
0.2209 0.2209 0.1143
```

**DFT total energy**: -77.2 eV for the cell shown
**Formation energy**: -0.597 eV per atom
**DOS at the Fermi energy**: 6.44 states/eV per cell



Entry 7:
Here is a relaxed Pm5Sc4Ge4 crystal from the Alexandria database. Energies are from GGA-PBE.

Structure (POSCAR):
```
Pm5Sc4Ge4
1.0
-0.2687 0.2907 4.2676
-2.9132 -8.1325 2.5227
8.1345 -2.5972 2.8414
Sc Ge Pm
4 4 5
Direct
0.4120 0.6879 0.4881
0.5880 0.3121 0.5119
0.0999 0.4881 0.3121
0.9001 0.5119 0.6879
0.2479 0.6869 0.8173
0.0652 0.1827 0.6869
0.9348 0.8173 0.3131
0.7521 0.3131 0.1827
0.0000 0.0000 0.0000
0.3719 0.3299 0.9263
0.7018 0.9263 0.6701
0.6281 0.6701 0.0737
0.2982 0.0737 0.3299
```

**DFT total energy**: -75.5 eV for the cell shown
**Formation energy**: -0.612 eV per atom
**DOS at the Fermi energy**: 16.14 states/eV per cell



Entry 8:
Here is a relaxed PmScTcGe2 crystal from the Alexandria database. Energies are from GGA-PBE.

Structure (POSCAR):
```
PmScTcGe2
1.0
4.0774 0.0000 0.0000
0.0000 4.0774 0.0000
-2.0387 -2.0387 5.9693
Sc Ge Pm Tc
1 2 1 1
Direct
0.2500 0.7500 0.5000
0.3944 0.3944 0.7889
0.6056 0.6056 0.2111
0.0000 0.0000 0.0000
0.7500 0.2500 0.5000
```

**DFT total energy**: -34.0 eV for the cell shown
**Formation energy**: -0.654 eV per atom
**DOS at the Fermi energy**: 2.95 states/eV per cell



Entry 9:
Here is a relaxed Pm3Sc3Tl2Ge crystal from the Alexandria database. Energies are from GGA-PBE.

Structure (POSCAR):
```
Pm3Sc3Tl2Ge
1.0
3.9815 0.0000 0.0000
0.0000 8.3455 0.0000
0.0000 -4.1727 7.2274
Sc Tl Pm Ge
3 2 3 1
Direct
0.5000 0.0000 0.7568
0.5000 0.7568 0.0000
0.5000 0.2432 0.2432
0.5000 0.6667 0.3333
0.5000 0.3333 0.6667
0.0000 0.0000 0.3886
0.0000 0.3886 0.0000
0.0000 0.6114 0.6114
0.0000 0.0000 0.0000
```

**DFT total energy**: -46.3 eV for the cell shown
**Formation energy**: -0.412 eV per atom
**DOS at the Fermi energy**: 12.16 states/eV per cell



Entry 10:
Here is a relaxed PmScTlGe crystal from the Alexandria database. Energies are from GGA-PBE.

Structure (POSCAR):
```
PmScTlGe
1.0
-1.0873 4.4486 -2.3814
-3.7620 0.1858 -3.5293
-4.4034 2.4803 1.0497
Ge Tl Sc Pm
1 1 1 1
Direct
0.5000 0.5000 0.5000
0.0000 0.0000 0.0000
0.2500 0.2500 0.2500
0.7500 0.7500 0.7500
```

**DFT total energy**: -19.6 eV for the cell shown
**Formation energy**: -0.384 eV per atom
**DOS at the Fermi energy**: 3.19 states/eV per cell



Entry 11:
Here is a relaxed PmScZnGe crystal from the Alexandria database. Energies are from GGA-PBE.

Structure (POSCAR):
```
PmScZnGe
1.0
-3.3056 1.3761 -3.4142
-2.5275 -3.4270 -2.5188
-4.8346 -0.6259 0.8439
Pm Sc Ge Zn
1 1 1 1
Direct
0.0000 0.0000 0.0000
0.5000 0.5000 0.5000
0.2500 0.2500 0.2500
0.7500 0.7500 0.7500
```

**DFT total energy**: -19.0 eV for the cell shown
**Formation energy**: -0.505 eV per atom
**DOS at the Fermi energy**: 1.64 states/eV per cell



Entry 12:
Here is a relaxed PmSc2Zn2Ge2 crystal from the Alexandria database. Energies are from GGA-PBE.

Structure (POSCAR):
```
PmSc2Zn2Ge2
1.0
-0.4911 3.6908 -2.1545
-2.5483 3.0872 1.5749
5.9027 5.7348 4.1842
Pm Sc Ge Zn
1 2 2 2
Direct
0.0000 0.0000 0.0000
0.8668 0.8668 0.3997
0.1332 0.1332 0.6003
0.2513 0.2513 0.2462
0.7487 0.7487 0.7538
0.5943 0.5943 0.2172
0.4057 0.4057 0.7828
```

**DFT total energy**: -32.1 eV for the cell shown
**Formation energy**: -0.419 eV per atom
**DOS at the Fermi energy**: 6.50 states/eV per cell